[1]
## TiNbIrPd (PBE)

Data for TiNbIrPd after structural relaxation.

Cell: 4.5099 4.5099 4.5099 Å, 60.00 60.00 60.00°
Last column: nearest neighbours and their distance in Å.
Positions (direct):
Ir: 0.0000 0.0000 0.0000  4 Nb 2.76, 4 Ti 2.76
Nb: 0.7500 0.7500 0.7500  4 Pd 2.76, 4 Ir 2.76
Pd: 0.5000 0.5000 0.5000  4 Nb 2.76, 4 Ti 2.76
Ti: 0.2500 0.2500 0.2500  4 Ir 2.76, 4 Pd 2.76

Space-group type ... F-43m
Formation energy ... -155 kJ/mol of formula units


[2]
## LaHoPaN3 (PBE)

Data for LaHoPaN3 after structural relaxation.

Cell: 3.5723 6.0756 9.2705 Å, 101.74 90.00 90.00°
Last column: nearest neighbours and their distance in Å.
Positions (direct):
Pa: 0.7500 0.8593 0.3468  5 N 2.25-2.39
Pa: 0.2500 0.1407 0.6532  5 N 2.25-2.39
La: 0.2500 0.3436 0.3012  7 N 2.66-2.87
La: 0.7500 0.6564 0.6988  7 N 2.66-2.87
N: 0.2500 0.9658 0.8456  1 Pa 2.25, 3 Ho 2.37-2.51
N: 0.7500 0.2239 0.5045  3 Pa 2.37-2.39
N: 0.2500 0.7761 0.4955  3 Pa 2.37-2.39
N: 0.7500 0.0342 0.1544  1 Pa 2.25, 3 Ho 2.37-2.51
N: 0.2500 0.4500 0.8368  1 Pa 2.26, 1 Ho 2.39
N: 0.7500 0.5500 0.1632  1 Pa 2.26, 1 Ho 2.39
Ho: 0.2500 0.7644 0.0395  6 N 2.37-2.61
Ho: 0.7500 0.2356 0.9605  6 N 2.37-2.61

Formation energy (no corrections) ... -1.428 eV per atom
Space-group type ... P2_1/m


[3]
## Ba2YSnO6 (PBE)

Data for Ba2YSnO6 after structural relaxation.

Cell: 6.1121 6.1119 6.1096 Å, 60.02 60.01 90.00°
Last column: nearest neighbours and their distance in Å.
Positions (direct):
O: 0.7408 0.2591 0.0000  1 Sn 2.08, 1 Y 2.24
O: 0.7409 0.7410 0.5182  1 Sn 2.08, 1 Y 2.24
O: 0.2591 0.2592 0.0000  1 Sn 2.08, 1 Y 2.24
O: 0.2592 0.7409 0.0000  1 Sn 2.08, 1 Y 2.24
O: 0.7409 0.7408 0.0000  1 Sn 2.08, 1 Y 2.24
O: 0.2591 0.2590 0.4818  1 Sn 2.08, 1 Y 2.24
Sn: 0.5000 0.5000 0.0000  6 O 2.08
Y: 0.0000 0.0000 0.0000  6 O 2.24
Ba: 0.7500 0.2499 0.4999  12 O 3.06
Ba: 0.2500 0.7501 0.5001  12 O 3.06

Formation energy (no corrections) ... -2.485 eV per atom
Space-group type ... Fm-3m